Material: Sr2CdSi
Method: DFT, meta-GGA SCAN
State: single point on PBEsol structure

Properties
As for the uncorrected formation energy: -241.9 meV/atom. The total moment is 0.000 μB per atom. Its space group is Imm2.

```
Sr2CdSi
1.0
4.058 0.000 0.000
0.000 5.156 0.000
-2.029 -2.578 5.422
Sr Si Cd
2 1 1
direct
0.765 0.265 0.530
0.968 0.968 0.936
0.215 0.715 0.429
0.552 0.552 0.105
```